Record 1
An optimized crystal structure of Nd5Sm3Tl. Source: the Alexandria database, functional GGA-PBE.

```
Nd5Sm3Tl
1.0
5.7093 -4.1652 0.0000
5.7093 4.1652 0.0000
-0.0020 0.0000 13.5989
Nd Sm Tl
10 6 2
direct
0.0013 0.0013 0.2555 Nd
0.0326 0.4791 0.3359 Nd
0.1726 0.8274 0.0000 Nd
0.2641 0.2641 0.8686 Nd
0.4791 0.0326 0.3359 Nd
0.5209 0.9674 0.6641 Nd
0.7359 0.7359 0.1314 Nd
0.8274 0.1726 0.0000 Nd
0.9674 0.5209 0.6641 Nd
0.9987 0.9987 0.7445 Nd
0.1342 0.1342 0.5100 Sm
0.2584 0.2584 0.1187 Sm
0.5000 0.5000 0.0000 Sm
0.5000 0.5000 0.5000 Sm
0.7416 0.7416 0.8813 Sm
0.8658 0.8658 0.4900 Sm
0.4974 0.4974 0.2588 Tl
0.5026 0.5026 0.7412 Tl
```

Space-group type: C2/m
DFT formation energy: 0.27 eV/atom
M_tot: 0.00 μB/f.u.
Mass density: 7069 kg/m3

=====

Record 2
An optimized crystal structure of PuHf2Sb. Source: the Alexandria database, functional GGA-PBE.

```
PuHf2Sb
1.0
4.5580 0.0000 0.0000
0.0000 4.5580 0.0000
0.0000 0.0000 4.3291
Pu Hf Sb
1 2 1
direct
0.0000 0.0000 0.0000 Pu
0.0000 0.5000 0.5000 Hf
0.5000 0.0000 0.5000 Hf
0.5000 0.5000 0.0000 Sb
```

Space-group type: P4/mmm
M_tot: 5.81 μB/f.u.
Energy: -39.34 eV per formula unit
Mass density: 13344 kg/m3